# 1
# Mg2BeRe2 | the Alexandria database | PBE | relaxed
data_Mg2BeRe2
_chemical_formula_sum 'Mg4 Be2 Re4'
_cell_length_a 3.438
_cell_length_b 3.438
_cell_length_c 13.754
_cell_angle_alpha 90.00
_cell_angle_beta 90.00
_cell_angle_gamma 90.00
_symmetry_space_group_name_H-M 'I 4/m m m'
_symmetry_Int_Tables_number 139
_symmetry_space_group_name_Hall '-I 4 2'
loop_
_atom_site_label
_atom_site_type_symbol
_atom_site_fract_x
_atom_site_fract_y
_atom_site_fract_z
_atom_site_occupancy
Mg1 Mg 0.000 0.500 0.250 1
Be1 Be 0.000 0.000 0.000 1
Re1 Re 0.000 0.000 0.416 1
# Energy of formation ... 1.07 eV per atom
# Crystal system ... tetragonal
# Total magnetization ... 0.00 μB/f.u.
# VASP energy ... -5.29 eV per atom
# Offset from the most stable computed form ... 0.710 eV/atom
# DOS(E_F) ... 6.810 states/eV per cell

***

# 2
# CaCd2Pt | the Alexandria database | PBE | relaxed
data_CaCd2Pt
_chemical_formula_sum 'Ca3 Cd6 Pt3'
_cell_length_a 4.6851
_cell_length_b 4.6851
_cell_length_c 14.6183
_cell_angle_alpha 90.00
_cell_angle_beta 90.00
_cell_angle_gamma 120.00
_symmetry_space_group_name_H-M 'R -3 m'
_symmetry_Int_Tables_number 166
_symmetry_space_group_name_Hall '-R 3 2"'
loop_
_atom_site_label
_atom_site_type_symbol
_atom_site_fract_x
_atom_site_fract_y
_atom_site_fract_z
_atom_site_occupancy
Ca1 Ca 0.0000 0.0000 0.0000 1
Cd1 Cd 0.0000 0.0000 0.2198 1
Pt1 Pt 0.0000 0.0000 0.5000 1
# Energy of formation ... -0.39 eV per atom
# Crystal system ... trigonal
# Total magnetization ... 0.00 μB/f.u.
# VASP energy ... -2.86 eV per atom
# DOS(E_F) ... 4.700 states/eV per cell

***

# 3
# Ca4Tl3Cu | the Alexandria database | PBE | relaxed
data_Ca4Tl3Cu
_chemical_formula_sum 'Ca4 Tl3 Cu1'
_cell_length_a 3.796
_cell_length_b 3.796
_cell_length_c 15.626
_cell_angle_alpha 90.00
_cell_angle_beta 90.00
_cell_angle_gamma 90.00
_symmetry_space_group_name_H-M 'P 4/m m m'
_symmetry_Int_Tables_number 123
_symmetry_space_group_name_Hall '-P 4 2'
loop_
_atom_site_label
_atom_site_type_symbol
_atom_site_fract_x
_atom_site_fract_y
_atom_site_fract_z
_atom_site_occupancy
Ca1 Ca 0.000 0.000 0.110 1
Ca2 Ca 0.000 0.000 0.371 1
Tl1 Tl 0.500 0.500 0.242 1
Tl2 Tl 0.500 0.500 0.500 1
Cu1 Cu 0.500 0.500 0.000 1
# Energy of formation ... -0.32 eV per atom
# Crystal system ... tetragonal
# Total magnetization ... 0.00 μB/f.u.
# VASP energy ... -2.72 eV per atom
# DOS(E_F) ... 6.567 states/eV per cell

***

# 4
# TlAg2Sb | the Alexandria database | PBE | relaxed
data_TlAg2Sb
_chemical_formula_sum 'Tl1 Ag2 Sb1'
_cell_length_a 3.049
_cell_length_b 4.160
_cell_length_c 7.598
_cell_angle_alpha 90.00
_cell_angle_beta 90.00
_cell_angle_gamma 90.00
_symmetry_space_group_name_H-M 'P m m 2'
_symmetry_Int_Tables_number 25
loop_
_symmetry_equiv_pos_as_xyz
'x,y,z'
'-x,-y,z'
'-x,y,z'
'x,-y,z'
loop_
_atom_site_label
_atom_site_type_symbol
_atom_site_fract_x
_atom_site_fract_y
_atom_site_fract_z
_atom_site_occupancy
Tl1 Tl 0.000 0.000 0.000 1
Ag1 Ag 0.000 0.000 0.446 1
Ag2 Ag 0.500 0.500 0.257 1
Sb1 Sb 0.500 0.500 0.658 1
# Crystal system ... orthorhombic
# Total magnetization ... 0.00 μB/f.u.
# VASP energy ... -2.92 eV per atom
# DOS(E_F) ... 1.047 states/eV per cell

***

# 5
# MnCrIn2 | the Alexandria database | PBE | relaxed
data_MnCrIn2
_chemical_formula_sum 'Mn2 Cr2 In4'
_cell_length_a 3.975
_cell_length_b 4.023
_cell_length_c 9.283
_cell_angle_alpha 90.00
_cell_angle_beta 90.00
_cell_angle_gamma 90.00
_symmetry_space_group_name_H-M 'I m m 2'
_symmetry_Int_Tables_number 44
loop_
_symmetry_equiv_pos_as_xyz
'x,y,z'
'-x,-y,z'
'-x,y,z'
'x,-y,z'
'x+1/2,y+1/2,z+1/2'
'-x+1/2,-y+1/2,z+1/2'
'-x+1/2,y+1/2,z+1/2'
'x+1/2,-y+1/2,z+1/2'
loop_
_atom_site_label
_atom_site_type_symbol
_atom_site_fract_x
_atom_site_fract_y
_atom_site_fract_z
_atom_site_occupancy
Mn1 Mn 0.000 0.000 0.000 1
Cr1 Cr 0.000 0.500 0.749 1
In1 In 0.000 0.000 0.499 1
In2 In 0.000 0.500 0.250 1
# Energy of formation ... 0.36 eV per atom
# Crystal system ... orthorhombic
# Total magnetization ... 6.79 μB/f.u.
# VASP energy ... -5.70 eV per atom
# Offset from the most stable computed form ... 0.127 eV/atom
# DOS(E_F) ... 7.442 states/eV per cell

***

# 6
# Li3Ho2BeNi12 | the Alexandria database | PBE | relaxed
data_Li3Ho2BeNi12
_chemical_formula_sum 'Li9 Ho6 Be3 Ni36'
_cell_length_a 5.1408
_cell_length_b 5.1408
_cell_length_c 31.9085
_cell_angle_alpha 90.00
_cell_angle_beta 90.00
_cell_angle_gamma 120.00
_symmetry_space_group_name_H-M 'R -3 m'
_symmetry_Int_Tables_number 166
_symmetry_space_group_name_Hall '-R 3 2"'
loop_
_atom_site_label
_atom_site_type_symbol
_atom_site_fract_x
_atom_site_fract_y
_atom_site_fract_z
_atom_site_occupancy
Li1 Li 0.0000 0.5000 0.0000 1
Ho1 Ho 0.0000 0.0000 0.1419 1
Be1 Be 0.0000 0.0000 0.5000 1
Ni1 Ni 0.0118 0.5059 0.1124 1
Ni2 Ni 0.0238 0.5119 0.6097 1
# Energy of formation ... 0.06 eV per atom
# Crystal system ... trigonal
# Total magnetization ... 3.41 μB/f.u.
# VASP energy ... -4.83 eV per atom
# DOS(E_F) ... 69.653 states/eV per cell

***

# 7
# CuReAs4 | the Alexandria database | PBE | relaxed
data_CuReAs4
_chemical_formula_sum 'Cu4 Re4 As16'
_cell_length_a 7.544
_cell_length_b 7.544
_cell_length_c 7.544
_cell_angle_alpha 90.00
_cell_angle_beta 90.00
_cell_angle_gamma 90.00
_symmetry_space_group_name_H-M 'F -4 3 m'
_symmetry_Int_Tables_number 216
_symmetry_space_group_name_Hall 'F -4 2 3'
loop_
_atom_site_label
_atom_site_type_symbol
_atom_site_fract_x
_atom_site_fract_y
_atom_site_fract_z
_atom_site_occupancy
Cu1 Cu 0.000 0.000 0.000 1
Re1 Re 0.250 0.250 0.750 1
As1 As 0.124 0.124 0.376 1
# Energy of formation ... 1.08 eV per atom
# Crystal system ... cubic
# Total magnetization ... 0.00 μB/f.u.
# VASP energy ... -4.78 eV per atom
# DOS(E_F) ... 15.944 states/eV per cell

***

# 8
# Sr4Ce3UP8 | the Alexandria database | PBE | relaxed
data_Sr4Ce3UP8
_chemical_formula_sum 'Sr12 Ce9 U3 P24'
_cell_length_a 8.4099
_cell_length_b 8.4099
_cell_length_c 20.7775
_cell_angle_alpha 90.00
_cell_angle_beta 90.00
_cell_angle_gamma 120.00
_symmetry_space_group_name_H-M 'R -3 m'
_symmetry_Int_Tables_number 166
_symmetry_space_group_name_Hall '-R 3 2"'
loop_
_atom_site_label
_atom_site_type_symbol
_atom_site_fract_x
_atom_site_fract_y
_atom_site_fract_z
_atom_site_occupancy
Sr1 Sr 0.0000 0.0000 0.0000 1
Sr2 Sr 0.0000 0.5000 0.0000 1
Ce1 Ce 0.0000 0.5000 0.5000 1
U1 U 0.0000 0.0000 0.5000 1
P1 P 0.0000 0.0000 0.2396 1
P2 P 0.0111 0.5056 0.2382 1
# Energy of formation ... -1.23 eV per atom
# Crystal system ... trigonal
# Total magnetization ... 2.22 μB/f.u.
# VASP energy ... -6.18 eV per atom
# DOS(E_F) ... 39.603 states/eV per cell